# CsBS2 GGA-PBE optimized geometry
# Crystal system = trigonal
# Final energy = -4.11 eV/atom
# Volume = 22.35 A^3/atom
# Formation energy (no corrections) = -0.1633 eV/atom
# Offset from the most stable computed form = 0.7244 eV per atom
data_CsBS2
_chemical_formula_sum 'Cs1 B1 S2'
_cell_length_a 3.610
_cell_length_b 3.610
_cell_length_c 7.921
_cell_angle_alpha 90.00
_cell_angle_beta 90.00
_cell_angle_gamma 120.00
_space_group_name_H-M_alt 'P 1'
_space_group_IT_number 1
_space_group_name_Hall 'P 1'
loop_
_atom_site_label
_atom_site_fract_x
_atom_site_fract_y
_atom_site_fract_z
Cs1 0.000 0.000 0.000
B1 0.333 0.667 0.477
S1 0.333 0.667 0.695
S2 0.667 0.333 0.367

***

# DyInS3 GGA-PBE optimized geometry
# Crystal system = monoclinic
# Final energy = -5.23 eV/atom
# Volume = 28.40 A^3/atom
# Formation energy (no corrections) = -1.2817 eV/atom
# Offset from the most stable computed form = 0.0000 eV per atom
data_DyInS3
_chemical_formula_sum 'Dy2 In2 S6'
_cell_length_a 6.806
_cell_length_b 4.087
_cell_length_c 10.477
_cell_angle_alpha 90.00
_cell_angle_beta 103.01
_cell_angle_gamma 90.00
_space_group_name_H-M_alt 'P 1'
_space_group_IT_number 1
_space_group_name_Hall 'P 1'
loop_
_atom_site_label
_atom_site_fract_x
_atom_site_fract_y
_atom_site_fract_z
Dy1 0.017 0.250 0.334
Dy2 0.983 0.750 0.666
In1 0.474 0.250 0.814
In2 0.526 0.750 0.186
S1 0.194 0.750 0.234
S2 0.207 0.250 0.590
S3 0.316 0.750 0.888
S4 0.684 0.250 0.112
S5 0.793 0.750 0.410
S6 0.806 0.250 0.766